Density functional theory data (PBE) for a relaxed SrBe3Pt crystal.

energy of formation	-0.244	eV/atom
raw total energy	-4.025	eV/atom
space group	Pm-3m, No. 221
density of states at the Fermi level	0.115	states/eV per atom
energy above the most stable polymorph in this dataset	0.000	eV per atom

a b c (Å): 4.417 4.417 4.417
angles (deg): 90.00 90.00 90.00
Sites, in units of the cell vectors:
Sr 0.500 0.500 0.500
Be 0.500 0.000 0.000
Be 0.000 0.500 0.000
Pt 0.000 0.000 0.000
Be 0.000 0.000 0.500